Record 1
Compound: PmNdNi2H8
Source: Alexandria
Functional: GGA-PBE
Structure: optimized geometry

Calculated values
Calculated density (g/cm³): 6.1
Symmetry: R-3m
Calculated total energy (eV per atom): -4.3144
Density of states at the Fermi level (states/eV/f.u.): 4.01

Cell and atoms, written as POSCAR:
```
PmNdNi2H8
1.0
-0.285 -2.279 -3.934
3.767 -1.670 -1.944
0.409 -6.714 1.222
H Ni Pm Nd
8 2 1 1
Direct
0.456 0.456 0.173
0.155 0.155 0.534
0.915 0.456 0.173
0.544 0.085 0.827
0.085 0.544 0.827
0.845 0.845 0.466
0.456 0.915 0.173
0.544 0.544 0.827
0.240 0.240 0.280
0.760 0.760 0.720
0.000 0.000 0.000
0.500 0.500 0.500
```


Record 2
Compound: NdNiH6Ru
Source: Alexandria
Functional: GGA-PBE
Structure: optimized geometry

Calculated values
Calculated density (g/cm³): 6.5
Symmetry: P-6m2
Calculated total energy (eV per atom): -4.7140
Density of states at the Fermi level (states/eV/f.u.): 4.04

Cell and atoms, written as POSCAR:
```
NdNiH6Ru
1.0
4.596 0.000 0.000
2.298 3.980 0.000
0.000 0.000 4.336
Nd Ni H Ru
1 1 6 1
Direct
0.000 0.000 0.000
0.667 0.667 0.500
0.500 0.999 0.756
0.500 0.501 0.244
0.501 0.999 0.244
0.999 0.500 0.244
0.999 0.501 0.756
0.501 0.500 0.756
0.333 0.333 0.500
```


Record 3
Compound: Nd2NiH6Ru
Source: Alexandria
Functional: GGA-PBE
Structure: optimized geometry

Calculated values
Calculated density (g/cm³): 7.5
Symmetry: I4/mmm
Calculated total energy (eV per atom): -4.9288
Density of states at the Fermi level (states/eV/f.u.): 3.36

Cell and atoms, written as POSCAR:
```
Nd2NiH6Ru
1.0
5.226 -0.013 -0.002
-0.013 5.227 -0.002
2.606 2.606 3.683
H Nd Ru Ni
6 2 1 1
Direct
0.749 0.749 0.503
0.748 0.252 0.000
0.252 0.748 0.000
0.251 0.251 0.497
0.251 0.251 0.000
0.749 0.749 0.000
0.250 0.750 0.500
0.750 0.250 0.500
0.500 0.500 0.000
0.000 0.000 0.000
```


Record 4
Compound: NdNiSbH
Source: Alexandria
Functional: GGA-PBE
Structure: optimized geometry

Calculated values
Calculated density (g/cm³): 7.7
Symmetry: P3m1
Calculated total energy (eV per atom): -5.2644
Density of states at the Fermi level (states/eV/f.u.): 1.66

Cell and atoms, written as POSCAR:
```
NdNiSbH
1.0
4.342 0.000 0.000
-2.171 3.759 0.007
0.000 -0.007 4.291
Ni Nd H Sb
1 1 1 1
Direct
0.239 0.477 0.884
0.572 0.144 0.307
0.239 0.477 0.253
0.905 0.811 0.795
```


The lowest calculated total energy belongs to which entry? NdNiSbH


Which value of calculated total energy does entry 1 give? -4.3144 eV per atom